SmRu6 | PBE-GGA | optimized geometry Values from VASP.

Calculated values
Formation enthalpy at 0 K, eV/atom: 0.6771
Theoretical density, g/cm³: 8.358

```
&SYSTEM
  ibrav = 0, nat = 7, ntyp = 2
/
ATOMIC_SPECIES
Ru 101.07 Ru.upf
Sm 150.36 Sm.upf
CELL_PARAMETERS angstrom
-3.2983 -0.0929 -4.7724
0.9526 -5.4333 1.7987
-2.7225 2.9701 4.1750
ATOMIC_POSITIONS angstrom
Ru -1.6153 -3.3789 0.0066
Ru -3.5968 0.0570 -1.0422
Ru -3.4529 0.8228 1.1947
Ru -2.3901 -0.5123 2.8375
Sm 0.0000 0.0000 0.0000
Ru -1.4714 -2.6132 2.2434
Ru -2.6781 -2.0438 -1.6362
```